Here is an optimized crystal structure of RbCr2InO from Alexandria via LeMat-Bulk. Energies are from GGA+U.

Computed properties:
VASP energy = -4.62 eV/atom
Spin magnetization = 9.03 μB/cell

Structure (CIF):
```
data_RbCr2InO
_cell_length_a 4.527
_cell_length_b 4.527
_cell_length_c 5.953
_cell_angle_alpha 90.00
_cell_angle_beta 90.00
_cell_angle_gamma 90.00
_symmetry_space_group_name_H-M 'P 4/m m m'
_symmetry_Int_Tables_number 123
_symmetry_space_group_name_Hall '-P 4 2'
loop_
_atom_site_label
_atom_site_fract_x
_atom_site_fract_y
_atom_site_fract_z
Rb1 0.000 0.000 0.000
Cr1 0.000 0.500 0.500
In1 0.500 0.500 0.000
O1 0.500 0.500 0.500
```